VASP calculation (GGA-PBE) on an optimized crystal structure of TbNd5Au6.

CIF file:
```
data_TbNd5Au6
_space_group_name_H-M_alt 'C 1 2/m 1'
_space_group_IT_number 12
_cell_length_a 16.5798
_cell_length_b 7.3590
_cell_length_c 5.2513
_cell_angle_alpha 90.00
_cell_angle_beta 108.28
_cell_angle_gamma 90.00
loop_
_space_group_symop_operation_xyz
'x,y,z'
'-x,-y,-z'
'-x,y,-z'
'x,-y,z'
'x+1/2,y+1/2,z'
'-x+1/2,-y+1/2,-z'
'-x+1/2,y+1/2,-z'
'x+1/2,-y+1/2,z'
loop_
_atom_site_label
_atom_site_fract_x
_atom_site_fract_y
_atom_site_fract_z
Tb1 0.0000 0.0000 0.0000
Nd1 0.0000 0.5000 0.0000
Nd2 0.1650 0.5000 0.6653
Nd3 0.1690 0.0000 0.6684
Au1 0.0000 0.2343 0.5000
Au2 0.1623 0.2421 0.1618
```

## Properties
**Magnetization**: 0.00 μB/cell
**Energy of formation**: -0.777 eV/atom